DFT (PBE-GGA) results for a relaxed structure of Hf2MnAl.

a b c (Å): 8.781 8.781 8.781
angles (deg): 20.60 20.60 20.60
Fractional positions:
Hf  0.240  0.240  0.240
Hf  0.760  0.760  0.760
Mn  0.500  0.500  0.500
Al  0.000  0.000  0.000

Computed properties:
* formation enthalpy at 0 K: 0.01 eV per atom
* total moment: 0.2 μB per formula unit



DFT (PBE-GGA) results for a relaxed structure of HfMn2Al2.

a b c (Å): 6.267 6.267 6.267
angles (deg): 145.24 145.24 49.97
Fractional positions:
Hf  0.000  0.000  0.000
Mn  0.250  0.750  0.500
Mn  0.750  0.250  0.500
Al  0.391  0.391  0.000
Al  0.609  0.609  0.000

Computed properties:
* formation enthalpy at 0 K: -0.06 eV per atom
* total moment: 4.2 μB per formula unit
* distance to the lowest polymorph of the same formula: 116.8 meV per atom



DFT (PBE-GGA) results for a relaxed structure of HfMn2Al.

a b c (Å): 3.135 3.135 5.904
angles (deg): 90.00 90.00 90.00
Fractional positions:
Hf  0.000  0.000  0.000
Mn  0.500  0.500  0.273
Mn  0.500  0.500  0.727
Al  0.000  0.000  0.500

Computed properties:
* formation enthalpy at 0 K: -0.19 eV per atom
* total moment: 2.7 μB per formula unit



DFT (PBE-GGA) results for a relaxed structure of HfMnAl3.

a b c (Å): 4.438 4.438 4.438
angles (deg): 90.00 90.00 90.00
Fractional positions:
Hf  0.000  0.000  0.000
Mn  0.500  0.500  0.500
Al  0.000  0.500  0.500
Al  0.500  0.000  0.500
Al  0.500  0.500  0.000

Computed properties:
* formation enthalpy at 0 K: 0.18 eV per atom
* total moment: 0.0 μB per formula unit
* distance to the lowest polymorph of the same formula: 158.0 meV per atom



DFT (PBE-GGA) results for a relaxed structure of HfMnAl3.

a b c (Å): 5.420 8.934 7.264
angles (deg): 90.00 90.00 90.00
Fractional positions:
Hf  0.029  0.250  0.125
Hf  0.471  0.750  0.625
Hf  0.529  0.250  0.375
Hf  0.971  0.750  0.875
Mn  0.000  0.000  0.500
Mn  0.000  0.500  0.500
Mn  0.500  0.000  0.000
Mn  0.500  0.500  0.000
Al  0.022  0.250  0.532
Al  0.225  0.045  0.766
Al  0.225  0.455  0.766
Al  0.275  0.545  0.266
Al  0.275  0.955  0.266
Al  0.478  0.750  0.032
Al  0.522  0.250  0.968
Al  0.725  0.045  0.734
Al  0.725  0.455  0.734
Al  0.775  0.545  0.234
Al  0.775  0.955  0.234
Al  0.978  0.750  0.468

Computed properties:
* formation enthalpy at 0 K: 0.02 eV per atom
* total moment: 0.0 μB per formula unit
* distance to the lowest polymorph of the same formula: 0.0 meV per atom



DFT (PBE-GGA) results for a relaxed structure of HfMnAl.

a b c (Å): 3.456 4.145 6.997
angles (deg): 90.00 90.00 90.00
Fractional positions:
Hf  0.250  0.250  0.156
Hf  0.750  0.750  0.844
Mn  0.250  0.750  0.522
Mn  0.750  0.250  0.478
Al  0.250  0.250  0.735
Al  0.750  0.750  0.265

Computed properties:
* formation enthalpy at 0 K: -0.19 eV per atom
* total moment: 1.8 μB per formula unit



Copy entry 3 word for word.
DFT (PBE-GGA) results for a relaxed structure of HfMn2Al.

a b c (Å): 3.135 3.135 5.904
angles (deg): 90.00 90.00 90.00
Fractional positions:
Hf  0.000  0.000  0.000
Mn  0.500  0.500  0.273
Mn  0.500  0.500  0.727
Al  0.000  0.000  0.500

Computed properties:
* formation enthalpy at 0 K: -0.19 eV per atom
* total moment: 2.7 μB per formula unit



Which value of formation enthalpy at 0 K does entry 1 give? 0.01 eV per atom



Please write out number 3 again, unchanged.
DFT (PBE-GGA) results for a relaxed structure of HfMn2Al.

a b c (Å): 3.135 3.135 5.904
angles (deg): 90.00 90.00 90.00
Fractional positions:
Hf  0.000  0.000  0.000
Mn  0.500  0.500  0.273
Mn  0.500  0.500  0.727
Al  0.000  0.000  0.500

Computed properties:
* formation enthalpy at 0 K: -0.19 eV per atom
* total moment: 2.7 μB per formula unit